1.
Density functional theory data (GGA-PBE) for a relaxed structure of Ba2InW.

Values from the calculation:
V in A^3/atom: 30.5
Electronic total energy in eV/atom: -3.868
Space group: R-3m, No. 166

Cell: 11.8600 11.8600 11.8600 Å, 16.84 16.84 16.84°
Fractional positions:
Ba (0.0070, 0.0070, 0.0070)
Ba (0.4930, 0.4930, 0.4930)
In (0.2500, 0.2500, 0.2500)
W (0.7500, 0.7500, 0.7500)

2.
Density functional theory data (GGA-PBE) for a relaxed structure of BaInW2.

Values from the calculation:
V in A^3/atom: 25.4
Electronic total energy in eV/atom: -5.793
Space group: I-42d, No. 122

Cell: 8.4321 8.4321 6.6108 Å, 50.38 50.38 90.00°
Fractional positions:
Ba (0.0000, 0.0000, 0.0000)
Ba (0.7500, 0.2500, 0.5000)
W (0.5798, 0.1250, 0.2500)
W (0.1702, 0.6250, 0.2500)
W (0.3750, 0.4202, 0.7500)
W (0.8750, 0.8298, 0.7500)
In (0.5000, 0.5000, 0.0000)
In (0.2500, 0.7500, 0.5000)

3.
Density functional theory data (GGA-PBE) for a relaxed structure of BaInW2.

Values from the calculation:
V in A^3/atom: 22.6
Electronic total energy in eV/atom: -6.363
Space group: Immm, No. 71

Cell: 6.4646 6.4646 6.4646 Å, 154.50 128.61 58.23°
Fractional positions:
Ba (0.7500, 0.2500, 0.5000)
In (0.2500, 0.7500, 0.5000)
W (0.0234, 0.0234, 0.0000)
W (0.4766, 0.4766, 0.0000)